The following is a DFT calculation (GGA-PBEsol) of an optimized crystal structure of MgSbI2N.

## Properties
- final energy (eV/cell) = -15.56
- formation energy (no corrections) (eV/atom) = 0.5548
- DOS at the Fermi energy (states/eV/f.u.) = 2.8

Structure (CIF):
```
data_MgSbI2N
_cell_length_a 4.954
_cell_length_b 4.954
_cell_length_c 4.763
_cell_angle_alpha 90.00
_cell_angle_beta 90.00
_cell_angle_gamma 90.00
_space_group_name_H-M_alt 'P 4/m m m'
_space_group_IT_number 123
_space_group_name_Hall '-P 4 2'
loop_
_atom_site_label
_atom_site_fract_x
_atom_site_fract_y
_atom_site_fract_z
_atom_site_occupancy
Mg1 0.000 0.000 0.000 1
Sb1 0.500 0.500 0.000 1
I1 0.000 0.500 0.500 1
N1 0.500 0.500 0.500 1
```


The following is a DFT calculation (GGA-PBEsol) of an optimized crystal structure of MgSbIN2.

## Properties
- final energy (eV/cell) = -18.63
- formation energy (no corrections) (eV/atom) = 1.2921
- DOS at the Fermi energy (states/eV/f.u.) = 2.0

Structure (CIF):
```
data_MgSbIN2
_cell_length_a 4.319
_cell_length_b 4.319
_cell_length_c 5.471
_cell_angle_alpha 90.00
_cell_angle_beta 90.00
_cell_angle_gamma 90.00
_space_group_name_H-M_alt 'P 4/m m m'
_space_group_IT_number 123
_space_group_name_Hall '-P 4 2'
loop_
_atom_site_label
_atom_site_fract_x
_atom_site_fract_y
_atom_site_fract_z
_atom_site_occupancy
Mg1 0.000 0.000 0.000 1
Sb1 0.500 0.500 0.500 1
I1 0.000 0.000 0.500 1
N1 0.000 0.500 0.000 1
```


The following is a DFT calculation (GGA-PBEsol) of an optimized crystal structure of SrMgIN2.

## Properties
- final energy (eV/cell) = -20.39
- formation energy (no corrections) (eV/atom) = 0.3965
- DOS at the Fermi energy (states/eV/f.u.) = 2.4

Structure (CIF):
```
data_SrMgIN2
_cell_length_a 4.401
_cell_length_b 4.401
_cell_length_c 5.379
_cell_angle_alpha 90.00
_cell_angle_beta 90.00
_cell_angle_gamma 90.00
_space_group_name_H-M_alt 'P 4/m m m'
_space_group_IT_number 123
_space_group_name_Hall '-P 4 2'
loop_
_atom_site_label
_atom_site_fract_x
_atom_site_fract_y
_atom_site_fract_z
_atom_site_occupancy
Sr1 0.000 0.000 0.000 1
Mg1 0.500 0.500 0.500 1
I1 0.500 0.500 0.000 1
N1 0.000 0.500 0.500 1
```


The following is a DFT calculation (GGA-PBEsol) of an optimized crystal structure of SrMgI2N.

## Properties
- final energy (eV/cell) = -14.95
- formation energy (no corrections) (eV/atom) = 0.1327
- DOS at the Fermi energy (states/eV/f.u.) = 2.9

Structure (CIF):
```
data_SrMgI2N
_cell_length_a 6.318
_cell_length_b 6.318
_cell_length_c 4.824
_cell_angle_alpha 90.00
_cell_angle_beta 90.00
_cell_angle_gamma 90.00
_space_group_name_H-M_alt 'P 4/m m m'
_space_group_IT_number 123
_space_group_name_Hall '-P 4 2'
loop_
_atom_site_label
_atom_site_fract_x
_atom_site_fract_y
_atom_site_fract_z
_atom_site_occupancy
Sr1 0.000 0.000 0.000 1
Mg1 0.500 0.500 0.500 1
I1 0.000 0.500 0.000 1
N1 0.000 0.000 0.500 1
```


The following is a DFT calculation (GGA-PBEsol) of an optimized crystal structure of MgTaIN2.

## Properties
- final energy (eV/cell) = -32.48
- formation energy (no corrections) (eV/atom) = 0.1210
- DOS at the Fermi energy (states/eV/f.u.) = 2.7

Structure (CIF):
```
data_MgTaIN2
_cell_length_a 4.054
_cell_length_b 4.054
_cell_length_c 5.687
_cell_angle_alpha 90.00
_cell_angle_beta 90.00
_cell_angle_gamma 90.00
_space_group_name_H-M_alt 'P 4/m m m'
_space_group_IT_number 123
_space_group_name_Hall '-P 4 2'
loop_
_atom_site_label
_atom_site_fract_x
_atom_site_fract_y
_atom_site_fract_z
_atom_site_occupancy
Mg1 0.000 0.000 0.000 1
Ta1 0.500 0.500 0.500 1
I1 0.500 0.500 0.000 1
N1 0.000 0.500 0.500 1
```


The following is a DFT calculation (GGA-PBEsol) of an optimized crystal structure of MgTcI2N.

## Properties
- final energy (eV/cell) = -24.61
- formation energy (no corrections) (eV/atom) = 0.0868
- DOS at the Fermi energy (states/eV/f.u.) = 3.3

Structure (CIF):
```
data_MgTcI2N
_cell_length_a 5.502
_cell_length_b 5.502
_cell_length_c 3.732
_cell_angle_alpha 90.00
_cell_angle_beta 90.00
_cell_angle_gamma 90.00
_space_group_name_H-M_alt 'P 4/m m m'
_space_group_IT_number 123
_space_group_name_Hall '-P 4 2'
loop_
_atom_site_label
_atom_site_fract_x
_atom_site_fract_y
_atom_site_fract_z
_atom_site_occupancy
Mg1 0.000 0.000 0.000 1
Tc1 0.500 0.500 0.500 1
I1 0.000 0.500 0.500 1
N1 0.500 0.500 0.000 1
```


The following is a DFT calculation (GGA-PBEsol) of an optimized crystal structure of MgTlIN2.

## Properties
- final energy (eV/cell) = -18.07
- formation energy (no corrections) (eV/atom) = 1.0195
- DOS at the Fermi energy (states/eV/f.u.) = 1.2

Structure (CIF):
```
data_MgTlIN2
_cell_length_a 4.477
_cell_length_b 4.477
_cell_length_c 5.764
_cell_angle_alpha 90.00
_cell_angle_beta 90.00
_cell_angle_gamma 90.00
_space_group_name_H-M_alt 'P 4/m m m'
_space_group_IT_number 123
_space_group_name_Hall '-P 4 2'
loop_
_atom_site_label
_atom_site_fract_x
_atom_site_fract_y
_atom_site_fract_z
_atom_site_occupancy
Mg1 0.000 0.000 0.000 1
Tl1 0.500 0.500 0.500 1
I1 0.000 0.000 0.500 1
N1 0.000 0.500 0.000 1
```


The following is a DFT calculation (GGA-PBEsol) of an optimized crystal structure of YMgI2N.

## Properties
- final energy (eV/cell) = -22.08
- formation energy (no corrections) (eV/atom) = -0.2955
- DOS at the Fermi energy (states/eV/f.u.) = 3.2

Structure (CIF):
```
data_YMgI2N
_cell_length_a 6.056
_cell_length_b 6.056
_cell_length_c 4.098
_cell_angle_alpha 90.00
_cell_angle_beta 90.00
_cell_angle_gamma 90.00
_space_group_name_H-M_alt 'P 4/m m m'
_space_group_IT_number 123
_space_group_name_Hall '-P 4 2'
loop_
_atom_site_label
_atom_site_fract_x
_atom_site_fract_y
_atom_site_fract_z
_atom_site_occupancy
Y1 0.000 0.000 0.000 1
Mg1 0.500 0.500 0.500 1
I1 0.000 0.500 0.000 1
N1 0.000 0.000 0.500 1
```


The following is a DFT calculation (GGA-PBEsol) of an optimized crystal structure of NaMg2I.

## Properties
- final energy (eV/cell) = -28.67
- formation energy (no corrections) (eV/atom) = -0.1416
- DOS at the Fermi energy (states/eV/f.u.) = 0.8

Structure (CIF):
```
data_NaMg2I
_cell_length_a 9.094
_cell_length_b 9.094
_cell_length_c 6.142
_cell_angle_alpha 90.00
_cell_angle_beta 90.00
_cell_angle_gamma 90.00
_space_group_name_H-M_alt 'I -4 2 d'
_space_group_IT_number 122
_space_group_name_Hall 'I -4 2bw'
loop_
_atom_site_label
_atom_site_fract_x
_atom_site_fract_y
_atom_site_fract_z
_atom_site_occupancy
Na1 0.000 0.000 0.000 1
Mg1 0.224 0.750 0.625 1
I1 0.000 0.000 0.500 1
```


The following is a DFT calculation (GGA-PBEsol) of an optimized crystal structure of NaMgTe2I.

## Properties
- final energy (eV/cell) = -13.70
- formation energy (no corrections) (eV/atom) = -0.3532
- DOS at the Fermi energy (states/eV/f.u.) = 5.3

Structure (CIF):
```
data_NaMgTe2I
_cell_length_a 5.433
_cell_length_b 5.433
_cell_length_c 5.919
_cell_angle_alpha 90.00
_cell_angle_beta 90.00
_cell_angle_gamma 90.00
_space_group_name_H-M_alt 'P 4/m m m'
_space_group_IT_number 123
_space_group_name_Hall '-P 4 2'
loop_
_atom_site_label
_atom_site_fract_x
_atom_site_fract_y
_atom_site_fract_z
_atom_site_occupancy
Na1 0.000 0.000 0.000 1
Mg1 0.500 0.500 0.500 1
Te1 0.000 0.500 0.500 1
I1 0.500 0.500 0.000 1
```


The following is a DFT calculation (GGA-PBEsol) of an optimized crystal structure of MgNb2OsI.

## Properties
- final energy (eV/cell) = -28.78
- formation energy (no corrections) (eV/atom) = 1.7131
- DOS at the Fermi energy (states/eV/f.u.) = 4.0

Structure (CIF):
```
data_MgNb2OsI
_cell_length_a 4.955
_cell_length_b 4.955
_cell_length_c 4.807
_cell_angle_alpha 90.00
_cell_angle_beta 90.00
_cell_angle_gamma 90.00
_space_group_name_H-M_alt 'P 4/m m m'
_space_group_IT_number 123
_space_group_name_Hall '-P 4 2'
loop_
_atom_site_label
_atom_site_fract_x
_atom_site_fract_y
_atom_site_fract_z
_atom_site_occupancy
Mg1 0.000 0.000 0.000 1
Nb1 0.000 0.500 0.500 1
Os1 0.500 0.500 0.000 1
I1 0.500 0.500 0.500 1
```


The following is a DFT calculation (GGA-PBEsol) of an optimized crystal structure of YMgNb2I.

## Properties
- final energy (eV/cell) = -26.47
- formation energy (no corrections) (eV/atom) = 1.0967
- DOS at the Fermi energy (states/eV/f.u.) = 6.6

Structure (CIF):
```
data_YMgNb2I
_cell_length_a 5.054
_cell_length_b 5.054
_cell_length_c 5.185
_cell_angle_alpha 90.00
_cell_angle_beta 90.00
_cell_angle_gamma 90.00
_space_group_name_H-M_alt 'P 4/m m m'
_space_group_IT_number 123
_space_group_name_Hall '-P 4 2'
loop_
_atom_site_label
_atom_site_fract_x
_atom_site_fract_y
_atom_site_fract_z
_atom_site_occupancy
Y1 0.000 0.000 0.000 1
Mg1 0.500 0.500 0.000 1
Nb1 0.000 0.500 0.500 1
I1 0.500 0.500 0.500 1
```


The following is a DFT calculation (GGA-PBEsol) of an optimized crystal structure of MgNi3I.

## Properties
- final energy (eV/cell) = -16.19
- formation energy (no corrections) (eV/atom) = 1.1531
- DOS at the Fermi energy (states/eV/f.u.) = 7.4

Structure (CIF):
```
data_MgNi3I
_cell_length_a 4.387
_cell_length_b 4.387
_cell_length_c 4.387
_cell_angle_alpha 90.00
_cell_angle_beta 90.00
_cell_angle_gamma 90.00
_space_group_name_H-M_alt 'P m -3 m'
_space_group_IT_number 221
_space_group_name_Hall '-P 4 2 3'
loop_
_atom_site_label
_atom_site_fract_x
_atom_site_fract_y
_atom_site_fract_z
_atom_site_occupancy
Mg1 0.000 0.000 0.000 1
Ni1 0.000 0.000 0.500 1
I1 0.500 0.500 0.500 1
```


The following is a DFT calculation (GGA-PBEsol) of an optimized crystal structure of MgNiSbI2.

## Properties
- final energy (eV/cell) = -15.20
- formation energy (no corrections) (eV/atom) = 0.1535
- DOS at the Fermi energy (states/eV/f.u.) = 4.8

Structure (CIF):
```
data_MgNiSbI2
_cell_length_a 5.260
_cell_length_b 5.260
_cell_length_c 4.917
_cell_angle_alpha 90.00
_cell_angle_beta 90.00
_cell_angle_gamma 90.00
_space_group_name_H-M_alt 'P 4/m m m'
_space_group_IT_number 123
_space_group_name_Hall '-P 4 2'
loop_
_atom_site_label
_atom_site_fract_x
_atom_site_fract_y
_atom_site_fract_z
_atom_site_occupancy
Mg1 0.000 0.000 0.000 1
Ni1 0.500 0.500 0.500 1
Sb1 0.500 0.500 0.000 1
I1 0.000 0.500 0.500 1
```